Entry 1:
Below is V2HgPd2 after structural relaxation, with properties calculated at the GGA-PBE level.

Cell: 7.599 7.599 2.768 Å, 90.00 90.00 90.00°
Fractional positions:
1 V 0.168 0.332 0.000
2 V 0.332 0.832 0.000
3 V 0.668 0.168 0.000
4 V 0.832 0.668 0.000
5 Hg 0.000 0.000 0.500
6 Hg 0.500 0.500 0.500
7 Pd 0.127 0.627 0.500
8 Pd 0.373 0.127 0.500
9 Pd 0.627 0.873 0.500
10 Pd 0.873 0.373 0.500

Summary:
crystal system	tetragonal
DFT formation energy	0.032	eV per atom
size of the total moment	0.00	μB per formula unit
SG	P4/mbm
density	10.7	g cm⁻³

---

Entry 2:
Below is MgFeTe after structural relaxation, with properties calculated at the GGA-PBE level.

Cell: 3.379 3.379 6.265 Å, 90.00 90.00 120.00°
Fractional positions:
1 Mg 0.000 0.000 0.000
2 Fe 0.667 0.333 0.689
3 Te 0.333 0.667 0.427

Summary:
crystal system	trigonal
size of the total moment	1.78	μB per formula unit
SG	P3m1
uncorrected formation energy	0.173	eV/atom
density	5.6	g cm⁻³

---

Entry 3:
Below is BaSb2Te2 after structural relaxation, with properties calculated at the GGA-PBE level.

Cell: 9.484 9.484 9.484 Å, 153.11 153.11 38.39°
Fractional positions:
1 Ba 0.000 0.000 0.000
2 Sb 0.250 0.750 0.500
3 Sb 0.750 0.250 0.500
4 Te 0.400 0.400 0.000
5 Te 0.600 0.600 0.000

Summary:
crystal system	tetragonal
size of the total moment	0.00	μB per formula unit
SG	I4/mmm
uncorrected formation energy	-0.476	eV/atom
density	6.1	g cm⁻³

---

Entry 4:
Below is Tb6AsSe5 after structural relaxation, with properties calculated at the GGA-PBE level.

Cell: 7.107 7.107 7.121 Å, 99.54 99.54 120.07°
Fractional positions:
1 Tb 0.082 0.407 0.744
2 Tb 0.244 0.244 0.255
3 Tb 0.407 0.082 0.744
4 Tb 0.593 0.918 0.256
5 Tb 0.756 0.756 0.745
6 Tb 0.918 0.593 0.256
7 As 0.000 0.000 0.500
8 Se 0.169 0.831 0.000
9 Se 0.333 0.667 0.500
10 Se 0.500 0.500 0.000
11 Se 0.667 0.333 0.500
12 Se 0.831 0.169 0.000

Summary:
crystal system	monoclinic
size of the total moment	0.00	μB per formula unit
SG	C2/m
uncorrected formation energy	-1.765	eV/atom
density	8.0	g cm⁻³

---

Entry 5:
Below is Sn2Sb5Pb12 after structural relaxation, with properties calculated at the GGA-PBE level.

Cell: 9.466 9.466 8.596 Å, 92.40 92.40 53.43°
Fractional positions:
1 Sn 0.197 0.803 0.000
2 Sn 0.803 0.197 0.000
3 Sb 0.162 0.162 0.130
4 Sb 0.250 0.250 0.676
5 Sb 0.500 0.500 0.500
6 Sb 0.750 0.750 0.324
7 Sb 0.838 0.838 0.870
8 Pb 0.024 0.024 0.692
9 Pb 0.094 0.638 0.551
10 Pb 0.109 0.541 0.134
11 Pb 0.362 0.906 0.449
12 Pb 0.426 0.426 0.835
13 Pb 0.459 0.891 0.866
14 Pb 0.541 0.109 0.134
15 Pb 0.574 0.574 0.165
16 Pb 0.638 0.094 0.551
17 Pb 0.891 0.459 0.866
18 Pb 0.906 0.362 0.449
19 Pb 0.976 0.976 0.308

Summary:
crystal system	monoclinic
size of the total moment	0.00	μB per formula unit
SG	C2/m
uncorrected formation energy	0.094	eV/atom
density	9.0	g cm⁻³

---

Entry 6:
Below is Li3CuAg after structural relaxation, with properties calculated at the GGA-PBE level.

Cell: 7.273 7.273 8.843 Å, 90.00 90.00 158.52°
Fractional positions:
1 Li 0.059 0.941 0.750
2 Li 0.347 0.653 0.558
3 Li 0.347 0.653 0.942
4 Li 0.653 0.347 0.058
5 Li 0.653 0.347 0.442
6 Li 0.941 0.059 0.250
7 Cu 0.000 0.000 0.000
8 Cu 0.000 0.000 0.500
9 Ag 0.275 0.725 0.250
10 Ag 0.725 0.275 0.750

Summary:
crystal system	orthorhombic
DFT formation energy	0.027	eV per atom
size of the total moment	0.00	μB per formula unit
SG	Cmcm
density	3.7	g cm⁻³

---

Entry 7:
Below is Li7InHg4 after structural relaxation, with properties calculated at the GGA-PBE level.

Cell: 7.179 7.179 8.130 Å, 118.30 118.30 41.32°
Fractional positions:
1 Li 0.000 0.000 0.000
2 Li 0.256 0.256 0.716
3 Li 0.308 0.308 0.122
4 Li 0.424 0.424 0.582
5 Li 0.576 0.576 0.418
6 Li 0.692 0.692 0.878
7 Li 0.744 0.744 0.284
8 In 0.500 0.500 0.000
9 Hg 0.063 0.063 0.725
10 Hg 0.188 0.188 0.338
11 Hg 0.812 0.812 0.662
12 Hg 0.937 0.937 0.275

Summary:
crystal system	monoclinic
DFT formation energy	-0.226	eV per atom
size of the total moment	0.00	μB per formula unit
SG	C2/m
density	6.7	g cm⁻³

---

Entry 8:
Below is In3PdRh after structural relaxation, with properties calculated at the GGA-PBE level.

Cell: 5.055 5.055 5.055 Å, 90.00 90.00 90.00°
Fractional positions:
1 In 0.000 0.000 0.500
2 In 0.000 0.500 0.000
3 In 0.500 0.000 0.000
4 Pd 0.500 0.500 0.500
5 Rh 0.000 0.000 0.000

Summary:
crystal system	cubic
DFT formation energy	0.103	eV per atom
size of the total moment	0.00	μB per formula unit
SG	Pm-3m
density	7.1	g cm⁻³